[1]
! Co2Ge2Bi | Alexandria via LeMat-Bulk | PBE-GGA | relaxed; values from VASP
! Fermi-level density of states, states/eV per cell: 11.4
! Energy, eV/atom: -5.2726
! Formation energy from the elements, eV/atom: 0.193
! Offset from the most stable computed form, meV per atom: 107
&SYSTEM
  ibrav = 0, nat = 10, ntyp = 3
/
ATOMIC_SPECIES
Co 58.93 Co.upf
Ge 72.64 Ge.upf
Bi 208.98 Bi.upf
CELL_PARAMETERS angstrom
7.367 0.000 0.000
0.000 7.367 0.000
0.000 0.000 2.945
ATOMIC_POSITIONS crystal
Co 0.140 0.360 0.000
Ge 0.360 0.140 0.500
Bi 0.500 0.500 0.000
Ge 0.860 0.360 0.500
Co 0.360 0.860 0.000
Co 0.640 0.140 0.000
Ge 0.140 0.640 0.500
Ge 0.640 0.860 0.500
Bi 0.000 0.000 0.000
Co 0.860 0.640 0.000

[2]
! SmIrC | Alexandria via LeMat-Bulk | PBE-GGA | relaxed; values from VASP
! Fermi-level density of states, states/eV per cell: 0.8
! Energy, eV/atom: -7.3852
! Formation energy from the elements, eV/atom: 0.216
! Offset from the most stable computed form, meV per atom: 665
&SYSTEM
  ibrav = 0, nat = 6, ntyp = 3
/
ATOMIC_SPECIES
Ir 192.22 Ir.upf
C 12.01 C.upf
Sm 150.36 Sm.upf
CELL_PARAMETERS angstrom
4.677 0.000 0.000
2.339 4.051 0.000
2.339 1.350 5.527
ATOMIC_POSITIONS crystal
Ir 0.631 0.631 0.107
C 0.256 0.256 0.232
Ir 0.369 0.369 0.893
Sm 0.897 0.897 0.310
C 0.744 0.744 0.768
Sm 0.103 0.103 0.690

[3]
! NiSbW2 | Alexandria via LeMat-Bulk | PBE-GGA | relaxed; values from VASP
! E_form (uncorrected), eV/atom: 0.4428
! Fermi-level density of states, states/eV per cell: 2.9
! Energy, eV/atom: -8.5097
&SYSTEM
  ibrav = 0, nat = 4, ntyp = 3
/
ATOMIC_SPECIES
W 183.84 W.upf
Sb 121.76 Sb.upf
Ni 58.69 Ni.upf
CELL_PARAMETERS angstrom
4.413 0.000 0.000
0.000 3.816 0.000
0.000 0.000 3.816
ATOMIC_POSITIONS crystal
W 0.000 0.500 0.500
Sb 0.500 0.000 0.500
Ni 0.500 0.500 0.000
W 0.000 0.000 0.000

[4]
! Tb3SmHo4Se8 | Alexandria via LeMat-Bulk | PBE-GGA | relaxed; values from VASP
! E_form (uncorrected), eV/atom: -1.7482
! Fermi-level density of states, states/eV per cell: 10.3
! Energy, eV/atom: -5.7980
&SYSTEM
  ibrav = 0, nat = 16, ntyp = 4
/
ATOMIC_SPECIES
Sm 150.36 Sm.upf
Ho 164.93 Ho.upf
Tb 158.93 Tb.upf
Se 78.96 Se.upf
CELL_PARAMETERS angstrom
8.164 0.000 0.000
0.000 8.182 0.007
-4.082 -4.078 5.776
ATOMIC_POSITIONS crystal
Sm 0.000 0.500 0.000
Ho 0.000 0.000 0.000
Tb 0.500 0.500 0.000
Tb 0.500 0.500 0.500
Ho 0.500 0.000 0.500
Se 0.249 0.246 0.497
Ho 0.500 0.000 0.000
Tb 0.000 0.500 0.500
Se 0.254 0.757 0.003
Se 0.251 0.243 0.997
Ho 0.000 0.000 0.500
Se 0.749 0.757 0.003
Se 0.746 0.243 0.492
Se 0.751 0.754 0.503
Se 0.254 0.757 0.508
Se 0.746 0.243 0.997

[5]
! TbScBe2Si2 | Alexandria via LeMat-Bulk | PBE-GGA | relaxed; values from VASP
! E_form (uncorrected), eV/atom: -0.6309
! Fermi-level density of states, states/eV per cell: 2.9
! Energy, eV/atom: -5.5076
&SYSTEM
  ibrav = 0, nat = 6, ntyp = 4
/
ATOMIC_SPECIES
Tb 158.93 Tb.upf
Be 9.01 Be.upf
Si 28.09 Si.upf
Sc 44.96 Sc.upf
CELL_PARAMETERS angstrom
3.821 0.000 0.000
-1.910 3.309 0.000
0.000 0.000 7.754
ATOMIC_POSITIONS crystal
Tb 0.000 0.000 0.000
Be 0.667 0.333 0.267
Be 0.333 0.667 0.733
Si 0.667 0.333 0.735
Sc 0.000 0.000 0.500
Si 0.333 0.667 0.265

[6]
! Er4CoCl5 | Alexandria via LeMat-Bulk | PBE-GGA | relaxed; values from VASP
! E_form (uncorrected), eV/atom: -1.5757
! Fermi-level density of states, states/eV per cell: 1.3
! Energy, eV/atom: -5.0347
! Offset from the most stable computed form, meV per atom: 0
&SYSTEM
  ibrav = 0, nat = 10, ntyp = 3
/
ATOMIC_SPECIES
Er 167.26 Er.upf
Co 58.93 Co.upf
Cl 35.45 Cl.upf
CELL_PARAMETERS angstrom
-3.590 0.707 -0.837
-1.807 -7.808 1.159
0.524 3.068 8.766
ATOMIC_POSITIONS crystal
Er 0.997 0.783 0.994
Co 0.500 0.000 0.000
Cl 0.183 0.853 0.365
Cl 0.500 0.500 0.000
Er 0.647 0.073 0.294
Cl 0.166 0.319 0.332
Er 0.353 0.927 0.706
Cl 0.817 0.147 0.635
Cl 0.834 0.681 0.668
Er 0.003 0.217 0.006